# TiNbVMo, optimized geometry, DFT PBE-GGA
data_TiNbVMo
_chemical_formula_sum 'Ti1 Nb1 V1 Mo1'
_space_group_name_H-M_alt 'P 1'
_space_group_IT_number 1
_space_group_name_Hall 'P 1'
_cell_length_a 2.658
_cell_length_b 2.615
_cell_length_c 9.901
_cell_angle_alpha 90.00
_cell_angle_beta 97.72
_cell_angle_gamma 90.00
loop_
_atom_site_label
_atom_site_fract_x
_atom_site_fract_y
_atom_site_fract_z
_atom_site_occupancy
V1 0.237 0.500 0.474 1
Ti1 0.475 0.000 0.950 1
Nb1 0.624 0.000 0.248 1
Mo1 0.860 0.500 0.720 1
# Total DFT energy (no corrections)   -0.3319 hartree per atom
# Magnetization   0.00 μB/cell
# Volume   68.2 Å³/f.u.
# E_form   0.45 eV/atom
# Distance to the lowest polymorph of the same formula   469 meV per atom

# TiNbVMo, optimized geometry, DFT PBE-GGA
data_TiNbVMo
_chemical_formula_sum 'Ti1 Nb1 V1 Mo1'
_space_group_name_H-M_alt 'P 1'
_space_group_IT_number 1
_space_group_name_Hall 'P 1'
_cell_length_a 4.509
_cell_length_b 4.509
_cell_length_c 4.509
_cell_angle_alpha 60.00
_cell_angle_beta 60.00
_cell_angle_gamma 60.00
loop_
_atom_site_label
_atom_site_fract_x
_atom_site_fract_y
_atom_site_fract_z
_atom_site_occupancy
Ti1 0.250 0.250 0.250 1
Nb1 0.750 0.750 0.750 1
Mo1 0.500 0.500 0.500 1
V1 0.000 0.000 0.000 1
# Total DFT energy (no corrections)   -0.3492 hartree per atom
# Magnetization   1.85 μB/cell
# Volume   64.8 Å³/f.u.
# E_form   -0.02 eV/atom
# Distance to the lowest polymorph of the same formula   0 meV per atom

# TiNbMo2W, optimized geometry, DFT PBE-GGA
data_TiNbMo2W
_chemical_formula_sum 'Ti2 Nb2 Mo4 W2'
_space_group_name_H-M_alt 'P 1'
_space_group_IT_number 1
_space_group_name_Hall 'P 1'
_cell_length_a 3.067
_cell_length_b 6.818
_cell_length_c 9.567
_cell_angle_alpha 119.03
_cell_angle_beta 90.00
_cell_angle_gamma 90.00
loop_
_atom_site_label
_atom_site_fract_x
_atom_site_fract_y
_atom_site_fract_z
_atom_site_occupancy
Nb1 0.250 0.203 0.064 1
Nb2 0.750 0.797 0.936 1
Mo1 0.750 0.557 0.625 1
Mo2 0.250 0.443 0.375 1
Mo3 0.250 0.431 0.856 1
Mo4 0.750 0.569 0.144 1
Ti1 0.750 0.063 0.769 1
Ti2 0.250 0.937 0.231 1
W1 0.750 0.814 0.448 1
W2 0.250 0.186 0.552 1
# Total DFT energy (no corrections)   -0.3730 hartree per atom
# Magnetization   0.00 μB/cell
# Volume   87.5 Å³/f.u.
# E_form   0.37 eV/atom

# TiNb2Mo4W2, optimized geometry, DFT PBE-GGA
data_TiNb2Mo4W2
_chemical_formula_sum 'Ti1 Nb2 Mo4 W2'
_space_group_name_H-M_alt 'P 1'
_space_group_IT_number 1
_space_group_name_Hall 'P 1'
_cell_length_a 3.195
_cell_length_b 7.012
_cell_length_c 7.127
_cell_angle_alpha 108.09
_cell_angle_beta 90.00
_cell_angle_gamma 103.17
loop_
_atom_site_label
_atom_site_fract_x
_atom_site_fract_y
_atom_site_fract_z
_atom_site_occupancy
Nb1 0.667 0.334 0.001 1
Nb2 0.333 0.666 0.999 1
W1 0.109 0.218 0.662 1
W2 0.891 0.782 0.338 1
Mo1 0.443 0.886 0.661 1
Mo2 0.222 0.443 0.338 1
Mo3 0.557 0.114 0.339 1
Mo4 0.778 0.557 0.662 1
Ti1 0.000 0.000 0.000 1
# Total DFT energy (no corrections)   -0.4001 hartree per atom
# Magnetization   0.00 μB/cell
# Volume   147.4 Å³/f.u.
# E_form   -0.08 eV/atom

# TiNbMoW, optimized geometry, DFT PBE-GGA
data_TiNbMoW
_chemical_formula_sum 'Ti1 Nb1 Mo1 W1'
_space_group_name_H-M_alt 'P 1'
_space_group_IT_number 1
_space_group_name_Hall 'P 1'
_cell_length_a 4.525
_cell_length_b 4.525
_cell_length_c 4.535
_cell_angle_alpha 119.93
_cell_angle_beta 119.92
_cell_angle_gamma 90.00
loop_
_atom_site_label
_atom_site_fract_x
_atom_site_fract_y
_atom_site_fract_z
_atom_site_occupancy
Mo1 0.870 0.370 0.740 1
Nb1 0.120 0.120 0.240 1
Ti1 0.370 0.870 0.740 1
W1 0.620 0.620 0.240 1
# Total DFT energy (no corrections)   -0.3856 hartree per atom
# Magnetization   0.00 μB/cell
# Volume   65.8 Å³/f.u.
# E_form   -0.06 eV/atom
# Distance to the lowest polymorph of the same formula   13 meV per atom

# Ti2Nb2Mo6W, optimized geometry, DFT PBE-GGA
data_Ti2Nb2Mo6W
_chemical_formula_sum 'Ti2 Nb2 Mo6 W1'
_space_group_name_H-M_alt 'P 1'
_space_group_IT_number 1
_space_group_name_Hall 'P 1'
_cell_length_a 5.565
_cell_length_b 5.565
_cell_length_c 7.880
_cell_angle_alpha 69.32
_cell_angle_beta 69.32
_cell_angle_gamma 60.00
loop_
_atom_site_label
_atom_site_fract_x
_atom_site_fract_y
_atom_site_fract_z
_atom_site_occupancy
Mo1 0.437 0.941 0.680 1
Mo2 0.059 0.563 0.320 1
Mo3 0.941 0.437 0.680 1
Mo4 0.941 0.941 0.680 1
Mo5 0.563 0.059 0.320 1
Mo6 0.059 0.059 0.320 1
Nb1 0.559 0.559 0.323 1
Nb2 0.441 0.441 0.677 1
Ti1 0.677 0.677 0.970 1
Ti2 0.323 0.323 0.030 1
W1 0.000 0.000 0.000 1
# Total DFT energy (no corrections)   -0.3589 hartree per atom
# Magnetization   0.00 μB/cell
# Volume   193.0 Å³/f.u.
# E_form   0.59 eV/atom

# TiNbMoW, optimized geometry, DFT PBE-GGA
data_TiNbMoW
_chemical_formula_sum 'Ti1 Nb1 Mo1 W1'
_space_group_name_H-M_alt 'P 1'
_space_group_IT_number 1
_space_group_name_Hall 'P 1'
_cell_length_a 4.535
_cell_length_b 4.535
_cell_length_c 4.535
_cell_angle_alpha 60.00
_cell_angle_beta 60.00
_cell_angle_gamma 60.00
loop_
_atom_site_label
_atom_site_fract_x
_atom_site_fract_y
_atom_site_fract_z
_atom_site_occupancy
Mo1 0.000 0.000 0.000 1
W1 0.750 0.750 0.750 1
Ti1 0.250 0.250 0.250 1
Nb1 0.500 0.500 0.500 1
# Total DFT energy (no corrections)   -0.3861 hartree per atom
# Magnetization   0.00 μB/cell
# Volume   66.0 Å³/f.u.
# E_form   -0.07 eV/atom
# Distance to the lowest polymorph of the same formula   0 meV per atom

# Ti2NbMo4W2, optimized geometry, DFT PBE-GGA
data_Ti2NbMo4W2
_chemical_formula_sum 'Ti2 Nb1 Mo4 W2'
_space_group_name_H-M_alt 'P 1'
_space_group_IT_number 1
_space_group_name_Hall 'P 1'
_cell_length_a 3.177
_cell_length_b 6.935
_cell_length_c 7.136
_cell_angle_alpha 107.83
_cell_angle_beta 90.00
_cell_angle_gamma 103.24
loop_
_atom_site_label
_atom_site_fract_x
_atom_site_fract_y
_atom_site_fract_z
_atom_site_occupancy
W1 0.672 0.344 0.004 1
W2 0.328 0.656 0.996 1
Mo1 0.220 0.440 0.335 1
Mo2 0.442 0.884 0.667 1
Mo3 0.558 0.116 0.333 1
Mo4 0.780 0.560 0.665 1
Ti1 0.891 0.782 0.338 1
Ti2 0.109 0.218 0.662 1
Nb1 0.000 0.000 0.000 1
# Total DFT energy (no corrections)   -0.3928 hartree per atom
# Magnetization   0.00 μB/cell
# Volume   145.3 Å³/f.u.
# E_form   -0.12 eV/atom

> Which value of volume does entry 2 give?

64.8 Å³/f.u.